Entry from Alexandria via LeMat-Bulk: an optimized crystal structure of La6PRu2Br3 (GGA-PBE).

Geometry as CIF:
```
data_La6PRu2Br3
_chemical_formula_sum 'La12 P2 Ru4 Br6'
_cell_length_a 7.355
_cell_length_b 12.662
_cell_length_c 8.149
_cell_angle_alpha 90.00
_cell_angle_beta 107.98
_cell_angle_gamma 90.00
_symmetry_space_group_name_H-M 'C 1 2/m 1'
_symmetry_Int_Tables_number 12
loop_
_symmetry_equiv_pos_as_xyz
'x,y,z'
'-x,-y,-z'
'-x,y,-z'
'x,-y,z'
'x+1/2,y+1/2,z'
'-x+1/2,-y+1/2,-z'
'-x+1/2,y+1/2,-z'
'x+1/2,-y+1/2,z'
loop_
_atom_site_label
_atom_site_fract_x
_atom_site_fract_y
_atom_site_fract_z
_atom_site_occupancy
La1 0.218 0.000 0.197 1
La2 0.234 0.327 0.199 1
P1 0.000 0.500 0.000 1
Ru1 0.000 0.168 0.000 1
Br1 0.000 0.000 0.500 1
Br2 0.000 0.336 0.500 1
```

Output
Magnetic moment (μB/atom): 0.00
E_form (uncorrected) (meV/atom): -1126